A plane-wave DFT calculation with PBE-GGA was carried out for a relaxed NdCuSnSe2S crystal.

```
NdCuSnSe2S
1.0
2.0199 -6.6891 0.0000
2.0199 6.6891 0.0000
0.0000 0.0000 10.6159
Nd Cu Sn Se S
2 2 2 4 2
Direct
0.0000 0.0000 0.0000
0.0000 0.0000 0.5000
0.4731 0.5269 0.7500
0.5269 0.4731 0.2500
0.2510 0.7490 0.2500
0.7490 0.2510 0.7500
0.3502 0.6498 0.5745
0.3502 0.6498 0.9255
0.6498 0.3502 0.0745
0.6498 0.3502 0.4255
0.0736 0.9264 0.7500
0.9264 0.0736 0.2500
```

Computed properties:
Space group: Cmcm
Calculated total energy (eV/atom): -4.89
Calculated density (g/cm³): 5.98